VASP calculation (PBE) on a relaxed AcMgZnN2 crystal.

abc: 5.8825 4.4085 6.3858
angles: 90.00 98.96 90.00
With the nearest neighbours (Å) after each atom.
Fractional positions:
1 Ac 0.0000 0.2358 0.2500  4 N 2.67-2.72
2 Ac 0.0000 0.7642 0.7500  4 N 2.67-2.72
3 Mg 0.5000 0.4834 0.7500  4 N 2.16-2.37
4 Mg 0.5000 0.5166 0.2500  4 N 2.16-2.37
5 Zn 0.5000 0.0000 0.0000  2 N 1.95
6 Zn 0.5000 0.0000 0.5000  2 N 1.95
7 N 0.2635 0.3121 0.9496  1 Zn 1.95, 1 Mg 2.16
8 N 0.2635 0.6879 0.4496  1 Zn 1.95, 1 Mg 2.16
9 N 0.7365 0.3121 0.5504  1 Zn 1.95, 1 Mg 2.16
10 N 0.7365 0.6879 0.0504  1 Zn 1.95, 1 Mg 2.16

## Properties
The value obtained for the density of states at the Fermi level is 0.422 states/eV/atom. Its calculated total energy is -51.41 eV for the cell shown.